# 1
RbURhS4 | GGA-PBE | relaxed

Computed properties:
Calculated total energy (eV/cell): -85.7
Calculated volume (Å³/cell): 339.1

The structure in CIF format:
```
data_RbURhS4
_cell_length_a 6.5351
_cell_length_b 5.9506
_cell_length_c 9.0616
_cell_angle_alpha 90.00
_cell_angle_beta 105.77
_cell_angle_gamma 90.00
_symmetry_space_group_name_H-M 'P 1 21/m 1'
_symmetry_Int_Tables_number 11
loop_
_symmetry_equiv_pos_as_xyz
'x,y,z'
'-x,-y,-z'
'-x,y+1/2,-z'
'x,-y+1/2,z'
loop_
_atom_site_label
_atom_site_type_symbol
_atom_site_fract_x
_atom_site_fract_y
_atom_site_fract_z
_atom_site_occupancy
Rb1 Rb 0.2450 0.2500 0.0437 1
U1 U 0.2494 0.2500 0.5462 1
Rh1 Rh 0.2340 0.7500 0.3691 1
S1 S 0.0288 0.5127 0.6950 1
S2 S 0.4533 0.7500 0.2018 1
S3 S 0.4657 0.7500 0.6045 1
```

# 2
As2CSeBr | GGA-PBE | relaxed

Computed properties:
Energy relative to the lowest polymorph listed for this composition (meV per atom): 0
Calculated volume (Å³/cell): 93.5

The structure in CIF format:
```
data_As2CSeBr
_cell_length_a 4.6775
_cell_length_b 4.6775
_cell_length_c 4.2754
_cell_angle_alpha 90.00
_cell_angle_beta 90.00
_cell_angle_gamma 90.00
_symmetry_space_group_name_H-M 'P 4/m m m'
_symmetry_Int_Tables_number 123
_symmetry_space_group_name_Hall '-P 4 2'
loop_
_atom_site_label
_atom_site_type_symbol
_atom_site_fract_x
_atom_site_fract_y
_atom_site_fract_z
_atom_site_occupancy
As1 As 0.0000 0.5000 0.0000 1
C1 C 0.0000 0.0000 0.0000 1
Se1 Se 0.0000 0.0000 0.5000 1
Br1 Br 0.5000 0.5000 0.5000 1
```